## Cs3ThBr7 (PBE)

Data for an optimized crystal structure of Cs3ThBr7.

Values from the calculation:
The space group is No. 8. The value obtained for the uncorrected formation energy is -1.80 eV per atom.

Lattice parameters (Å, degrees): 8.396 8.396 9.267 63.12 63.12 85.19
Element x y z (fractional)
Cs (0.772, 0.225, 0.491)
Cs (0.509, 0.509, 0.910)
Cs (0.225, 0.772, 0.491)
Th (0.952, 0.952, 0.043)
Br (0.135, 0.135, 0.139)
Br (0.647, 0.127, 0.201)
Br (0.982, 0.301, 0.738)
Br (0.127, 0.647, 0.201)
Br (0.666, 0.666, 0.408)
Br (0.301, 0.982, 0.738)
Br (0.807, 0.807, 0.890)

***

## MgCrSeN2 (PBE)

Data for an optimized crystal structure of MgCrSeN2.

Values from the calculation:
The offset from the most stable computed form is 0.00 eV per formula unit. The space group is No. 123. The value obtained for the uncorrected formation energy is 0.03 eV per atom.

Lattice parameters (Å, degrees): 3.682 3.682 5.305 90.00 90.00 90.00
Element x y z (fractional)
Cr (0.000, 0.000, 0.000)
Mg (0.500, 0.500, 0.500)
Se (0.000, 0.000, 0.500)
N (0.000, 0.500, 0.000)
N (0.500, 0.000, 0.000)

***

## Be2CdIr (PBE)

Data for an optimized crystal structure of Be2CdIr.

Values from the calculation:
The value obtained for the formation enthalpy at 0 K is -27 kJ/mol of formula units. The space group is No. 99.

Lattice parameters (Å, degrees): 2.934 2.934 6.077 90.00 90.00 90.00
Element x y z (fractional)
Be (0.000, 0.000, 0.996)
Be (0.500, 0.500, 0.194)
Ir (0.500, 0.500, 0.829)
Cd (0.000, 0.000, 0.481)

***

## GdB2Rh2C (PBE)

Data for an optimized crystal structure of GdB2Rh2C.

Values from the calculation:
The value obtained for the formation enthalpy at 0 K is -344 kJ/mol of formula units. The space group is No. 12.

Lattice parameters (Å, degrees): 3.817 3.817 5.869 109.32 109.32 89.99
Site moments in Bohr magnetons follow the coordinates.
Element x y z (fractional)
C (0.000, 0.000, 0.000)  -0.04
Gd (0.500, 0.500, 0.000)  6.94
Rh (0.250, 0.750, 0.500)  -0.01
Rh (0.750, 0.250, 0.500)  -0.01
B (0.142, 0.142, 0.289)  0.00
B (0.858, 0.858, 0.711)  0.00

***

## Be4SnGe3O12 (PBE)

Data for an optimized crystal structure of Be4SnGe3O12.

Values from the calculation:
The space group is No. 155. The value obtained for the uncorrected formation energy is -1.90 eV per atom.

Lattice parameters (Å, degrees): 6.091 6.091 6.091 105.99 105.99 105.99
Element x y z (fractional)
Be (0.939, 0.061, 0.500)
Be (0.061, 0.500, 0.939)
Be (0.500, 0.939, 0.061)
Be (0.500, 0.500, 0.500)
Sn (0.000, 0.000, 0.000)
Ge (0.564, 0.436, 0.000)
Ge (0.436, 0.000, 0.564)
Ge (0.000, 0.564, 0.436)
O (0.500, 0.342, 0.658)
O (0.906, 0.500, 0.094)
O (0.094, 0.906, 0.500)
O (0.500, 0.094, 0.906)
O (0.343, 0.967, 0.224)
O (0.224, 0.343, 0.967)
O (0.967, 0.224, 0.343)
O (0.657, 0.776, 0.033)
O (0.033, 0.657, 0.776)
O (0.776, 0.033, 0.657)
O (0.658, 0.500, 0.342)
O (0.342, 0.658, 0.500)

***

## SrCr2CdSn (PBE)

Data for an optimized crystal structure of SrCr2CdSn.

Values from the calculation:
The value obtained for the formation enthalpy at 0 K is 320 kJ/mol of formula units. The space group is No. 123.

Lattice parameters (Å, degrees): 5.284 5.553 5.284 90.00 90.00 90.00
Site moments in Bohr magnetons follow the coordinates.
Element x y z (fractional)
Cr (0.000, 0.000, 0.500)  3.92
Cr (0.500, 0.000, 0.000)  3.83
Sr (0.500, 0.500, 0.500)  0.03
Sn (0.000, 0.000, 0.000)  -0.10
Cd (0.000, 0.500, 0.000)  -0.01

***

## La3DyTh4S8 (PBE)

Data for an optimized crystal structure of La3DyTh4S8.

Values from the calculation:
The space group is No. 166. The value obtained for the uncorrected formation energy is -1.97 eV per atom.

Lattice parameters (Å, degrees): 8.073 8.188 8.072 119.52 120.00 90.00
Element x y z (fractional)
La (0.500, 0.500, 0.000)
La (0.500, 0.500, 0.500)
La (0.000, 0.500, 0.500)
Dy (0.000, 0.500, 0.000)
Th (0.500, 0.000, 0.000)
Th (0.500, 0.000, 0.500)
Th (0.000, 0.000, 0.000)
Th (0.000, 0.000, 0.500)
S (0.245, 0.748, 0.003)
S (0.245, 0.748, 0.489)
S (0.248, 0.245, 0.497)
S (0.759, 0.748, 0.003)
S (0.241, 0.252, 0.997)
S (0.752, 0.755, 0.503)
S (0.755, 0.252, 0.511)
S (0.755, 0.252, 0.997)

***

## LaScTePb2 (PBE)

Data for an optimized crystal structure of LaScTePb2.

Values from the calculation:
The space group is No. 123. The value obtained for the uncorrected formation energy is 0.75 eV per atom.

Lattice parameters (Å, degrees): 6.046 5.579 6.046 90.00 90.00 90.00
Element x y z (fractional)
Pb (0.000, 0.000, 0.500)
Pb (0.500, 0.000, 0.000)
Sc (0.000, 0.500, 0.000)
Te (0.500, 0.500, 0.500)
La (0.000, 0.000, 0.000)

***

## Th2InCu (PBE)

Data for an optimized crystal structure of Th2InCu.

Values from the calculation:
The offset from the most stable computed form is 1.54 eV per formula unit. The value obtained for the formation enthalpy at 0 K is 85 kJ/mol of formula units. The space group is No. 166.

Lattice parameters (Å, degrees): 3.457 3.457 11.267 81.17 81.17 60.00
Element x y z (fractional)
Cu (0.500, 0.500, 0.500)
Th (0.100, 0.100, 0.699)
Th (0.900, 0.900, 0.301)
In (0.000, 0.000, 0.000)

***

## SmTmMg2 (PBE)

Data for an optimized crystal structure of SmTmMg2.

Values from the calculation:
The offset from the most stable computed form is 0.00 eV per formula unit. The value obtained for the formation enthalpy at 0 K is -33 kJ/mol of formula units. The space group is No. 225.

Lattice parameters (Å, degrees): 5.370 5.370 5.370 60.00 60.00 60.00
Element x y z (fractional)
Mg (0.250, 0.250, 0.250)
Mg (0.750, 0.750, 0.750)
Tm (0.000, 0.000, 0.000)
Sm (0.500, 0.500, 0.500)

***

## Ce3Pm2NdBi6 (PBE)

Data for an optimized crystal structure of Ce3Pm2NdBi6.

Values from the calculation:
The value obtained for the formation enthalpy at 0 K is -1009 kJ/mol of formula units. The space group is No. 12.

Lattice parameters (Å, degrees): 7.961 7.961 7.960 99.60 99.60 120.00
Site moments in Bohr magnetons follow the coordinates.
Element x y z (fractional)
Ce (0.166, 0.834, 0.500)  0.81
Ce (0.834, 0.166, 0.500)  0.81
Ce (0.500, 0.500, 0.500)  0.81
Pm (0.333, 0.667, 0.000)  0.00
Pm (0.667, 0.333, 0.000)  0.00
Nd (0.000, 0.000, 0.000)  0.00
Bi (0.916, 0.582, 0.749)  -0.02
Bi (0.749, 0.749, 0.251)  -0.02
Bi (0.084, 0.418, 0.251)  -0.02
Bi (0.582, 0.916, 0.749)  -0.02
Bi (0.251, 0.251, 0.749)  -0.02
Bi (0.418, 0.084, 0.251)  -0.02

***

## Sr2In4Ag3Ge (PBE)

Data for an optimized crystal structure of Sr2In4Ag3Ge.

Values from the calculation:
The value obtained for the formation enthalpy at 0 K is -264 kJ/mol of formula units. The space group is No. 115.

Lattice parameters (Å, degrees): 4.666 4.666 11.990 90.00 90.00 90.00
Element x y z (fractional)
Sr (0.500, 0.000, 0.254)
Sr (0.000, 0.500, 0.746)
In (0.500, 0.500, 0.000)
In (0.000, 0.000, 0.000)
In (0.500, 0.000, 0.633)
In (0.000, 0.500, 0.367)
Ag (0.000, 0.000, 0.500)
Ag (0.500, 0.000, 0.861)
Ag (0.000, 0.500, 0.139)
Ge (0.500, 0.500, 0.500)

***

## ZrTa2Rh (PBE)

Data for an optimized crystal structure of ZrTa2Rh.

Values from the calculation:
The value obtained for the formation enthalpy at 0 K is 1 kJ/mol of formula units. The space group is No. 65.

Lattice parameters (Å, degrees): 5.383 5.383 2.911 90.00 90.00 119.55
Element x y z (fractional)
Rh (0.000, 0.500, 0.500)
Ta (0.000, 0.000, 0.000)
Ta (0.500, 0.500, 0.000)
Zr (0.500, 0.000, 0.500)

***

## AlOs (PBE)

Data for an optimized crystal structure of AlOs.

Values from the calculation:
The value obtained for the formation enthalpy at 0 K is 140 kJ/mol of formula units. The space group is No. 225.

Lattice parameters (Å, degrees): 3.560 3.560 3.560 60.00 60.00 60.00
Site moments in Bohr magnetons follow the coordinates.
Element x y z (fractional)
Os (0.500, 0.500, 0.500)  0.29
Al (0.000, 0.000, 0.000)  0.00

***

## Tb3YMg7 (PBE)

Data for an optimized crystal structure of Tb3YMg7.

Values from the calculation:
The value obtained for the formation enthalpy at 0 K is 196 kJ/mol of formula units. The space group is No. 12.

Lattice parameters (Å, degrees): 6.100 8.498 8.498 73.72 121.80 121.80
Element x y z (fractional)
Tb (0.000, 0.807, 0.193)
Tb (0.500, 0.000, 0.000)
Tb (0.000, 0.193, 0.807)
Y (0.500, 0.500, 0.500)
Mg (0.456, 0.238, 0.238)
Mg (0.304, 0.051, 0.563)
Mg (0.696, 0.437, 0.949)
Mg (0.304, 0.563, 0.051)
Mg (0.000, 0.500, 0.500)
Mg (0.696, 0.949, 0.437)
Mg (0.544, 0.762, 0.762)

***

## TlBiHS2 (PBE)

Data for an optimized crystal structure of TlBiHS2.

Values from the calculation:
The space group is No. 13. The calculation puts the calculated total energy at -3.651 eV per atom.

Lattice parameters (Å, degrees): 5.400 5.762 8.508 101.79 90.00 90.00
Element x y z (fractional)
Tl (0.156, 0.500, 0.750)
Tl (0.844, 0.500, 0.250)
Bi (0.520, 0.000, 0.250)
Bi (0.480, 0.000, 0.750)
H (0.000, 0.000, 0.000)
H (0.000, 0.000, 0.500)
S (0.778, 0.800, 0.953)
S (0.778, 0.200, 0.547)
S (0.222, 0.800, 0.453)
S (0.222, 0.200, 0.047)

***

## PmPd9Au2 (PBE)

Data for an optimized crystal structure of PmPd9Au2.

Values from the calculation:
The value obtained for the formation enthalpy at 0 K is -217 kJ/mol of formula units. The space group is No. 166.

Lattice parameters (Å, degrees): 5.298 5.298 9.279 73.41 73.41 60.00
Element x y z (fractional)
Pm (0.000, 0.000, 0.000)
Pd (0.666, 0.666, 0.002)
Pd (0.334, 0.334, 0.998)
Pd (0.500, 0.500, 0.500)
Pd (0.412, 0.412, 0.258)
Pd (0.918, 0.412, 0.258)
Pd (0.412, 0.918, 0.258)
Pd (0.588, 0.588, 0.742)
Pd (0.588, 0.082, 0.742)
Pd (0.082, 0.588, 0.742)
Au (0.852, 0.852, 0.445)
Au (0.148, 0.148, 0.555)

***

## MnIn4Fe (PBE)

Data for an optimized crystal structure of MnIn4Fe.

Values from the calculation:
The value obtained for the formation enthalpy at 0 K is 422 kJ/mol of formula units. The space group is No. 216.

Lattice parameters (Å, degrees): 5.815 5.815 5.815 60.00 60.00 60.00
Site moments in Bohr magnetons follow the coordinates.
Element x y z (fractional)
Mn (0.750, 0.750, 0.750)  4.05
In (0.875, 0.375, 0.375)  -0.01
In (0.375, 0.375, 0.875)  -0.01
In (0.375, 0.875, 0.375)  -0.01
In (0.375, 0.375, 0.375)  -0.01
Fe (0.000, 0.000, 0.000)  3.03

***

## Ag2SF (PBE)

Data for an optimized crystal structure of Ag2SF.

Values from the calculation:
The offset from the most stable computed form is 0.48 eV per formula unit. The space group is No. 122. The value obtained for the uncorrected formation energy is -0.38 eV per atom.

Lattice parameters (Å, degrees): 5.490 5.490 6.958 66.76 66.76 90.00
Element x y z (fractional)
S (0.000, 0.000, 0.000)
S (0.750, 0.250, 0.500)
Ag (0.624, 0.125, 0.250)
Ag (0.126, 0.625, 0.250)
Ag (0.375, 0.376, 0.750)
Ag (0.875, 0.874, 0.750)
F (0.500, 0.500, 0.000)
F (0.250, 0.750, 0.500)

***

## LiTl2PPb (PBE)

Data for an optimized crystal structure of LiTl2PPb.

Values from the calculation:
The value obtained for the formation enthalpy at 0 K is 188 kJ/mol of formula units. The space group is No. 123.

Lattice parameters (Å, degrees): 5.000 5.287 5.000 90.00 90.00 90.00
Element x y z (fractional)
Pb (0.000, 0.500, 0.000)
P (0.500, 0.500, 0.500)
Tl (0.000, 0.000, 0.500)
Tl (0.500, 0.000, 0.000)
Li (0.000, 0.000, 0.000)

***

## Be2SbPt (PBE)

Data for an optimized crystal structure of Be2SbPt.

Values from the calculation:
The space group is No. 123. The value obtained for the uncorrected formation energy is 0.12 eV per atom.

Lattice parameters (Å, degrees): 3.981 3.982 3.640 90.00 90.00 90.00
Element x y z (fractional)
Sb (0.000, 0.500, 0.500)
Pt (0.500, 0.000, 0.500)
Be (0.000, 0.000, 0.000)
Be (0.500, 0.500, 0.000)

***

## CsKNa2 (PBE)

Data for an optimized crystal structure of CsKNa2.

Values from the calculation:
The offset from the most stable computed form is 0.30 eV per formula unit. The value obtained for the formation enthalpy at 0 K is 37 kJ/mol of formula units. The space group is No. 160.

Lattice parameters (Å, degrees): 4.697 4.697 13.458 79.95 79.95 60.00
Element x y z (fractional)
Cs (0.500, 0.500, 0.501)
K (0.667, 0.667, 0.000)
Na (0.078, 0.078, 0.766)
Na (0.255, 0.255, 0.234)

***

## Sm7Dy6Ho16 (PBE)

Data for an optimized crystal structure of Sm7Dy6Ho16.

Values from the calculation:
The value obtained for the formation enthalpy at 0 K is 719 kJ/mol of formula units. The space group is No. 225.

Lattice parameters (Å, degrees): 11.137 11.137 11.137 60.00 60.00 60.00
Element x y z (fractional)
Sm (0.000, 0.000, 0.000)
Sm (0.500, 0.000, 0.500)
Sm (0.000, 0.500, 0.000)
Sm (0.000, 0.500, 0.500)
Sm (0.500, 0.000, 0.000)
Sm (0.000, 0.000, 0.500)
Sm (0.500, 0.500, 0.000)
Dy (0.266, 0.734, 0.266)
Dy (0.734, 0.266, 0.734)
Dy (0.734, 0.266, 0.266)
Dy (0.266, 0.734, 0.734)
Dy (0.734, 0.734, 0.266)
Dy (0.266, 0.266, 0.734)
Ho (0.873, 0.873, 0.381)
Ho (0.873, 0.873, 0.873)
Ho (0.873, 0.381, 0.873)
Ho (0.381, 0.873, 0.873)
Ho (0.127, 0.127, 0.127)
Ho (0.127, 0.127, 0.619)
Ho (0.127, 0.619, 0.127)
Ho (0.619, 0.127, 0.127)
Ho (0.650, 0.650, 0.049)
Ho (0.650, 0.650, 0.650)
Ho (0.650, 0.049, 0.650)
Ho (0.049, 0.650, 0.650)
Ho (0.350, 0.350, 0.350)
Ho (0.350, 0.350, 0.951)
Ho (0.350, 0.951, 0.350)
Ho (0.951, 0.350, 0.350)

***

## Rb3CeTe2O8 (PBE)

Data for an optimized crystal structure of Rb3CeTe2O8.

Values from the calculation:
The space group is No. 164. The value obtained for the uncorrected formation energy is -1.68 eV per atom.

Lattice parameters (Å, degrees): 6.561 6.561 8.209 90.00 90.00 120.00
Site moments in Bohr magnetons follow the coordinates.
Element x y z (fractional)
Rb (0.333, 0.667, 0.766)  0.00
Rb (0.667, 0.333, 0.234)  0.00
Rb (0.000, 0.000, 0.000)  0.00
Ce (0.000, 0.000, 0.500)  0.02
Te (0.333, 0.667, 0.309)  0.07
Te (0.667, 0.333, 0.691)  0.07
O (0.333, 0.667, 0.084)  0.01
O (0.667, 0.333, 0.916)  0.01
O (0.157, 0.843, 0.329)  0.11
O (0.843, 0.157, 0.671)  0.11
O (0.157, 0.314, 0.329)  0.11
O (0.843, 0.686, 0.671)  0.11
O (0.686, 0.843, 0.329)  0.11
O (0.314, 0.157, 0.671)  0.11